(1)
The following is a DFT calculation (GGA-PBE) of crystalline KMnCl3 at its relaxed geometry.

Formation energy from raw total energies, eV/atom: -1.416
Total magnetization, μB per cell: 20.0

a b c (Å): 20.911 6.543 9.710
angles (deg): 90.00 153.92 90.00
Element x y z (fractional)
K 0.378 0.831 0.391
K 0.622 0.169 0.609
K 0.122 0.331 0.109
K 0.878 0.669 0.891
Mn 0.172 0.396 0.757
Mn 0.828 0.604 0.243
Mn 0.328 0.896 0.743
Mn 0.672 0.104 0.257
Cl 0.298 0.055 0.905
Cl 0.702 0.945 0.095
Cl 0.202 0.555 0.595
Cl 0.798 0.445 0.405
Cl 0.337 0.346 0.264
Cl 0.663 0.654 0.736
Cl 0.163 0.846 0.236
Cl 0.837 0.154 0.764
Cl 0.569 0.770 0.173
Cl 0.431 0.230 0.827
Cl 0.931 0.270 0.327
Cl 0.069 0.730 0.673

***

(2)
The following is a DFT calculation (GGA-PBE) of crystalline CuHgTeSe at its relaxed geometry.

Formation energy from raw total energies, eV/atom: -0.113
Total magnetization, μB per cell: 0.0

a b c (Å): 4.258 4.258 7.529
angles (deg): 73.57 73.57 60.00
Element x y z (fractional)
Cu 0.480 0.480 0.561
Hg 0.977 0.977 0.068
Te 0.109 0.109 0.673
Se 0.591 0.591 0.227

***

(3)
The following is a DFT calculation (GGA-PBE) of crystalline RbLi2Tl2Te2 at its relaxed geometry.

Formation energy from raw total energies, eV/atom: -0.637
Total magnetization, μB per cell: 0.0

a b c (Å): 4.749 4.749 11.874
angles (deg): 78.47 78.47 60.00
Element x y z (fractional)
Rb 0.000 0.000 0.000
Li 0.580 0.580 0.260
Li 0.420 0.420 0.740
Tl 0.140 0.140 0.580
Tl 0.860 0.860 0.420
Te 0.741 0.741 0.778
Te 0.259 0.259 0.222

***

Among the records above, which one has the highest total magnetization? KMnCl3

***

Which value of formation energy from raw total energies does entry 2 give? -0.113 eV/atom

***

Which formula does entry 3 have? RbLi2Tl2Te2